BaPaGaO6: relaxed, PBE-GGA.

Values from the calculation:
ΔE_f (raw) in eV/atom: -2.1939
Fermi-level density of states in states/eV/f.u.: 2.4

a b c (Å): 4.8809 5.7479 5.7479
angles (deg): 120.00 90.00 90.00
With the nearest neighbours (Å) after each atom.
Sites, in units of the cell vectors:
O 0.2594 0.6799 0.9209  1 Ga 2.03, 1 Pa 2.19
O 0.7406 0.6799 0.7590  1 Ga 2.03, 1 Pa 2.19
O 0.2594 0.2410 0.3201  1 Ga 2.03, 1 Pa 2.19
O 0.7406 0.0791 0.3201  1 Ga 2.03, 1 Pa 2.19
O 0.2594 0.0791 0.7590  1 Ga 2.03, 1 Pa 2.19
O 0.7406 0.2410 0.9209  1 Ga 2.03, 1 Pa 2.19
Ba 0.5000 0.6667 0.3333  6 O 2.68
Pa 0.0000 0.3333 0.6667  6 O 2.19
Ga 0.5000 0.0000 0.0000  6 O 2.03

=====

Ba2GaPbO6: relaxed, PBE-GGA.

Values from the calculation:
ΔE_f (raw) in eV/atom: -1.7342
Fermi-level density of states in states/eV/f.u.: 8.0

a b c (Å): 5.9720 5.9720 10.6744
angles (deg): 73.76 73.76 60.00
With the nearest neighbours (Å) after each atom.
Sites, in units of the cell vectors:
O 0.1940 0.1940 0.8830  1 Ga 1.99, 1 Pb 2.14
O 0.2709 0.8060 0.1170  1 Ga 1.99, 1 Pb 2.14
O 0.8528 0.3851 0.3771  1 Ga 2.04, 1 Pb 2.24
O 0.1472 0.6149 0.6229  1 Ga 2.04, 1 Pb 2.24
O 0.3851 0.3851 0.3771  1 Ga 2.04, 1 Pb 2.24
O 0.6149 0.1472 0.6229  1 Ga 2.04, 1 Pb 2.24
O 0.8060 0.2709 0.1170  1 Ga 1.99, 1 Pb 2.14
O 0.6149 0.6149 0.6229  1 Ga 2.04, 1 Pb 2.24
O 0.7291 0.1940 0.8830  1 Ga 1.99, 1 Pb 2.14
O 0.1940 0.7291 0.8830  1 Ga 1.99, 1 Pb 2.14
O 0.3851 0.8528 0.3771  1 Ga 2.04, 1 Pb 2.24
O 0.8060 0.8060 0.1170  1 Ga 1.99, 1 Pb 2.14
Ba 0.8682 0.8682 0.3953  12 O 2.94-3.24
Ba 0.7157 0.7157 0.8529  12 O 2.96-3.24
Ba 0.1318 0.1318 0.6047  12 O 2.94-3.24
Ba 0.2843 0.2843 0.1471  12 O 2.96-3.24
Pb 0.4079 0.4079 0.7762  6 O 2.14-2.24
Pb 0.5921 0.5921 0.2238  6 O 2.14-2.24
Ga 0.5000 0.5000 0.5000  6 O 2.04
Ga 0.0000 0.0000 0.0000  6 O 1.99

=====

Ba2Ga2PbO6: relaxed, PBE-GGA.

Values from the calculation:
ΔE_f (raw) in eV/atom: -1.8773
Fermi-level density of states in states/eV/f.u.: 0.0

a b c (Å): 6.1390 6.1390 7.3849
angles (deg): 65.44 65.44 60.00
With the nearest neighbours (Å) after each atom.
Sites, in units of the cell vectors:
O 0.2354 0.7410 0.2827  1 Ga 1.79
O 0.7646 0.2590 0.7173  1 Ga 1.79
O 0.7410 0.2354 0.2827  1 Ga 1.79
O 0.2590 0.2590 0.7173  1 Ga 1.79
O 0.7410 0.7410 0.2827  1 Ga 1.79
O 0.2590 0.7646 0.7173  1 Ga 1.79
Ga 0.4254 0.4254 0.7237  3 O 1.79
Ga 0.5746 0.5746 0.2763  3 O 1.79
Ba 0.2022 0.2022 0.3933  3 O 2.74
Ba 0.7978 0.7978 0.6067  3 O 2.74
Pb 0.0000 0.0000 0.0000  6 O 2.53

=====

Ba2GaPdO4: relaxed, PBE-GGA.

Values from the calculation:
ΔE_f (raw) in eV/atom: -1.7526

a b c (Å): 5.6417 5.6417 5.6417
angles (deg): 106.44 111.01 111.01
With the nearest neighbours (Å) after each atom.
Sites, in units of the cell vectors:
Ba 0.0000 0.0000 0.0000  4 O 2.76
Ba 0.5000 0.7500 0.2500  4 O 2.61
Ga 0.0000 0.5000 0.5000  4 O 1.90
O 0.9595 0.4876 0.1474  1 Ga 1.90
O 0.3402 0.8526 0.8121  1 Ga 1.90
O 0.0405 0.1879 0.5281  1 Ga 1.90
O 0.6598 0.4719 0.5124  1 Ga 1.90
Pd 0.5000 0.2500 0.7500  4 O 2.28

=====

Ba3GaPd2O6: relaxed, PBE-GGA.

Values from the calculation:
ΔE_f (raw) in eV/atom: -1.4775
Fermi-level density of states in states/eV/f.u.: 7.9

a b c (Å): 5.9434 5.9434 6.7867
angles (deg): 90.00 90.00 120.00
With the nearest neighbours (Å) after each atom.
Sites, in units of the cell vectors:
O 0.3175 0.1587 0.6786  1 Ga 2.03, 1 Pd 2.10
O 0.6825 0.8413 0.3214  1 Ga 2.03, 1 Pd 2.10
O 0.8413 0.6825 0.6786  1 Ga 2.03, 1 Pd 2.10
O 0.8413 0.1587 0.6786  1 Ga 2.03, 1 Pd 2.10
O 0.1587 0.3175 0.3214  1 Ga 2.03, 1 Pd 2.10
O 0.1587 0.8413 0.3214  1 Ga 2.03, 1 Pd 2.10
Ga 0.0000 0.0000 0.5000  6 O 2.03
Ba 0.3333 0.6667 0.6419  9 O 2.82-2.98
Ba 0.6667 0.3333 0.3581  9 O 2.82-2.98
Ba 0.0000 0.0000 0.0000  6 O 2.73
Pd 0.6667 0.3333 0.8378  3 O 2.10
Pd 0.3333 0.6667 0.1622  3 O 2.10

=====

BaGa2PdO: relaxed, PBE-GGA.

Values from the calculation:
ΔE_f (raw) in eV/atom: -0.3216
Fermi-level density of states in states/eV/f.u.: 2.6

a b c (Å): 4.8676 4.4892 4.8676
angles (deg): 90.00 90.00 90.00
With the nearest neighbours (Å) after each atom.
Sites, in units of the cell vectors:
Ba 0.5000 0.5000 0.5000  8 Ga 3.31, 4 Pd 3.44
Ga 0.0000 0.0000 0.5000  2 O 2.43
Ga 0.5000 0.0000 0.0000  2 O 2.43
Pd 0.0000 0.5000 0.0000  2 O 2.24
O 0.0000 0.0000 0.0000  2 Pd 2.24, 4 Ga 2.43

=====

Ba2GaPd2O6: relaxed, PBE-GGA.

Values from the calculation:
ΔE_f (raw) in eV/atom: -1.3413
Fermi-level density of states in states/eV/f.u.: 3.3

a b c (Å): 6.0152 6.0152 6.5948
angles (deg): 62.87 62.87 60.00
With the nearest neighbours (Å) after each atom.
Sites, in units of the cell vectors:
Ba 0.7812 0.7812 0.6564  9 O 2.77-3.07
Ba 0.2188 0.2188 0.3436  9 O 2.77-3.07
O 0.7917 0.2246 0.7591  1 Pd 1.97, 1 Ga 2.02
O 0.7754 0.2083 0.2409  1 Pd 1.97, 1 Ga 2.02
O 0.2246 0.7917 0.7591  1 Pd 1.97, 1 Ga 2.02
O 0.2083 0.7754 0.2409  1 Pd 1.97, 1 Ga 2.02
O 0.2246 0.2246 0.7591  1 Pd 1.97, 1 Ga 2.02
O 0.7754 0.7754 0.2409  1 Pd 1.97, 1 Ga 2.02
Ga 0.0000 0.0000 0.0000  6 O 2.02
Pd 0.5905 0.5905 0.2285  3 O 1.97
Pd 0.4095 0.4095 0.7715  3 O 1.97

=====

Ba2GaPdO5: relaxed, PBE-GGA.

Values from the calculation:
ΔE_f (raw) in eV/atom: -1.7578
Fermi-level density of states in states/eV/f.u.: 2.0

a b c (Å): 3.5720 7.7366 10.7434
angles (deg): 90.00 90.00 103.35
With the nearest neighbours (Å) after each atom.
Sites, in units of the cell vectors:
O 0.7093 0.4186 0.1326  2 Pd 2.14
O 0.3119 0.6237 0.3825  1 Ga 1.90
O 0.0677 0.1354 0.0296  2 Ga 1.99, 1 Pd 2.17
O 0.6881 0.3763 0.8825  1 Ga 1.90
O 0.6552 0.3104 0.5058  1 Pd 2.02
O 0.5007 0.0013 0.8081  1 Ga 1.83
O 0.3448 0.6896 0.0058  1 Pd 2.02
O 0.9323 0.8646 0.5296  2 Ga 1.99, 1 Pd 2.17
O 0.2907 0.5814 0.6326  2 Pd 2.14
O 0.4993 0.9987 0.3081  1 Ga 1.83
Pd 0.7885 0.5770 0.5236  4 O 2.02-2.17
Pd 0.2115 0.4230 0.0236  4 O 2.02-2.17
Ga 0.5706 0.1411 0.9472  4 O 1.83-1.99
Ga 0.4294 0.8589 0.4472  4 O 1.83-1.99
Ba 0.8652 0.7303 0.8116  7 O 2.71-2.85
Ba 0.1348 0.2697 0.3116  7 O 2.71-2.85
Ba 0.1170 0.2339 0.6831  7 O 2.67-2.99
Ba 0.8830 0.7661 0.1831  7 O 2.67-2.99